(1)
{"formula": "Ni3IrPt4", "functional": "PBE-GGA", "state": "optimized geometry", "space_group": "I4/mmm (139)", "e_tot_ev_per_atom": -6.339, "de_polymorph_ev_per_atom": 0.000, "ef_ev_per_fu": -0.34, "lattice_angstrom": [[-3.573, -1.309, -0.528], [0.969, -3.321, 1.670], [-0.704, 5.092, 6.118]], "species": ["Pt", "Ir", "Ni", "Pt", "Pt", "Ni", "Pt", "Ni"], "frac_coords": [[0.372, 0.372, 0.744], [0.500, 0.000, 0.000], [0.000, 0.500, 0.000], [0.872, 0.872, 0.744], [0.628, 0.628, 0.256], [0.250, 0.750, 0.501], [0.128, 0.128, 0.256], [0.750, 0.250, 0.499]]}



(2)
{"formula": "RbTi2RuCl", "functional": "PBE-GGA", "state": "optimized geometry", "e_form_raw_ev_per_fu": 11.7, "space_group": "P4/mmm (123)", "e_tot_ev_per_atom": -3.239, "lattice_angstrom": [[5.507, 0.000, 0.000], [0.000, 5.507, 0.000], [0.000, 0.000, 4.763]], "species": ["Ru", "Rb", "Cl", "Ti", "Ti"], "frac_coords": [[0.000, 0.000, 0.500], [0.000, 0.000, 0.000], [0.500, 0.500, 0.500], [0.500, 0.000, 0.000], [0.000, 0.500, 0.000]]}



(3)
{"formula": "CuAs2Br", "functional": "PBE-GGA", "state": "optimized geometry", "e_form_raw_ev_per_fu": -0.1, "space_group": "Pm (6)", "e_tot_ev_per_atom": -3.792, "de_polymorph_ev_per_atom": 0.000, "lattice_angstrom": [[3.574, 0.000, 0.000], [0.000, 4.465, -0.291], [0.000, 1.003, 7.303]], "species": ["Br", "As", "As", "Cu"], "frac_coords": [[0.000, 0.559, 0.578], [0.000, 0.835, 0.007], [0.500, 0.501, 0.123], [0.500, 0.605, 0.793]]}



(4)
{"formula": "As2IrAu", "functional": "PBE-GGA", "state": "optimized geometry", "space_group": "Immm (71)", "e_tot_ev_per_atom": -5.228, "de_polymorph_ev_per_atom": 0.183, "ef_ev_per_fu": 0.53, "lattice_angstrom": [[6.188, -0.001, -0.002], [3.710, 4.953, 0.002], [-4.395, -3.584, 2.477]], "species": ["Ir", "Au", "As", "As"], "frac_coords": [[0.250, 0.750, 0.500], [0.750, 0.250, 0.500], [0.062, 0.062, 0.000], [0.438, 0.438, 0.000]]}